Record 1
SrTc2W | PBE-GGA | relaxed

abc: 5.173 5.173 5.717
angles: 75.59 75.59 35.90
Atoms (fractional coordinates):
1 Sr 0.746 0.746 0.756
2 Tc 0.964 0.964 0.113
3 Tc 0.248 0.248 0.248
4 W 0.542 0.542 0.383

Properties
The final energy comes out at -8.1524 eV per atom. Its space group is Cm, No. 8. The distance to the lowest polymorph of the same formula comes out at 210 meV per atom. For the calculated formation energy, the calculation gives 689 meV/atom.

---

Record 2
SrTc2W | PBE-GGA | relaxed

abc: 4.641 4.641 4.641
angles: 60.00 60.00 60.00
Atoms (fractional coordinates):
1 Sr 0.500 0.500 0.500
2 Tc 0.000 0.000 0.000
3 Tc 0.750 0.750 0.750
4 W 0.250 0.250 0.250

Properties
The final energy comes out at -7.7817 eV per atom. Its space group is F-43m, No. 216. The distance to the lowest polymorph of the same formula comes out at 581 meV per atom. For the calculated formation energy, the calculation gives 1060 meV/atom.

---

Record 3
Sr2TcW | PBE-GGA | relaxed

abc: 10.894 10.894 10.894
angles: 16.54 16.54 16.54
Site moments in Bohr magnetons follow the coordinates.
Atoms (fractional coordinates):
1 Sr 0.997 0.997 0.997  -0.02
2 Sr 0.503 0.503 0.503  -0.02
3 Tc 0.250 0.250 0.250  1.10
4 W 0.750 0.750 0.750  0.02

Properties
The final energy comes out at -5.2275 eV per atom. Its space group is R-3m, No. 166. The distance to the lowest polymorph of the same formula comes out at 977 meV per atom. For the calculated formation energy, the calculation gives 1443 meV/atom.

---

Record 4
Sr2TcW | PBE-GGA | relaxed

abc: 5.360 2.887 6.419
angles: 63.32 90.00 90.00
Atoms (fractional coordinates):
1 Sr 0.000 0.998 0.002
2 Sr 0.000 0.502 0.498
3 Tc 0.500 0.250 0.250
4 W 0.500 0.750 0.750

Properties
The final energy comes out at -5.4135 eV per atom. Its space group is Pmmm, No. 47. The distance to the lowest polymorph of the same formula comes out at 791 meV per atom. For the calculated formation energy, the calculation gives 1257 meV/atom.

---

Record 5
SrTc2W | PBE-GGA | relaxed

abc: 4.944 4.944 9.247
angles: 74.49 74.49 90.00
Atoms (fractional coordinates):
1 Sr 0.500 0.500 0.000
2 Sr 0.250 0.750 0.500
3 Tc 0.875 0.125 0.250
4 Tc 0.875 0.625 0.250
5 Tc 0.375 0.125 0.750
6 Tc 0.875 0.125 0.750
7 W 0.000 0.000 0.000
8 W 0.750 0.250 0.500

Properties
The final energy comes out at -7.6912 eV per atom. Its space group is I4_1/amd, No. 141. The distance to the lowest polymorph of the same formula comes out at 671 meV per atom. For the calculated formation energy, the calculation gives 1151 meV/atom.

---

Record 6
Sr3TcW | PBE-GGA | relaxed

abc: 5.654 5.654 5.654
angles: 90.00 90.00 90.00
Site moments in Bohr magnetons follow the coordinates.
Atoms (fractional coordinates):
1 Sr 0.000 0.500 0.000  0.01
2 Sr 0.000 0.000 0.500  0.00
3 Sr 0.500 0.000 0.000  0.02
4 Tc 0.000 0.000 0.000  1.09
5 W 0.500 0.500 0.500  3.21

Properties
The final energy comes out at -4.0800 eV per atom. Its space group is Pm-3m, No. 221. The distance to the lowest polymorph of the same formula comes out at 0 meV per atom. For the calculated formation energy, the calculation gives 1593 meV/atom.

---

calculated formation energy of number 1 (SrTc2W)? 689 meV/atom

---

Among the records above, which one has the lowest distance to the lowest polymorph of the same formula? Sr3TcW

---

Which formula does entry 4 have? Sr2TcW